# 1
{"formula": "Cu5SnPd8", "functional": "PBE", "state": "relaxed", "dft_energy_ry_per_atom": -0.351, "spacegroup": "No. 82", "cell": [[-3.740, 3.740, 3.855], [3.740, -3.740, 3.855], [3.740, 3.740, -3.855]], "species": ["Cu", "Cu", "Cu", "Cu", "Cu", "Sn", "Pd", "Pd", "Pd", "Pd", "Pd", "Pd", "Pd", "Pd"], "fractional_positions": [[0.000, 0.000, 0.000], [0.292, 0.626, 0.091], [0.374, 0.465, 0.666], [0.535, 0.202, 0.909], [0.798, 0.708, 0.334], [0.750, 0.250, 0.500], [0.019, 0.419, 0.263], [0.090, 0.163, 0.733], [0.156, 0.756, 0.737], [0.244, 0.981, 0.400], [0.429, 0.357, 0.267], [0.581, 0.844, 0.600], [0.643, 0.910, 0.073], [0.837, 0.571, 0.927]]}

---

# 2
{"formula": "Cu2SnPd8", "functional": "PBE", "state": "relaxed", "dft_energy_ry_per_atom": -0.376, "e_above_lowest_polymorph_mev_per_atom": 0.0, "spacegroup": "No. 12", "cell": [[7.003, -2.009, 0.000], [7.003, 2.009, 0.000], [-1.728, 0.000, 5.970]], "species": ["Cu", "Cu", "Sn", "Pd", "Pd", "Pd", "Pd", "Pd", "Pd", "Pd", "Pd"], "fractional_positions": [[0.227, 0.227, 0.138], [0.773, 0.773, 0.862], [0.500, 0.500, 0.500], [0.047, 0.047, 0.228], [0.143, 0.143, 0.699], [0.317, 0.317, 0.584], [0.403, 0.403, 0.038], [0.597, 0.597, 0.962], [0.683, 0.683, 0.416], [0.857, 0.857, 0.301], [0.953, 0.953, 0.772]]}